TlBiRh2: relaxed, PBE.

a b c (Å): 6.234 6.234 7.310
angles (deg): 64.76 64.76 90.00
Fractional coordinates of all 8 atoms:
Bi 0.750 0.250 0.500
Bi 0.000 0.000 0.000
Tl 0.250 0.750 0.500
Tl 0.500 0.500 0.000
Rh 0.375 0.367 0.750
Rh 0.117 0.625 0.250
Rh 0.875 0.883 0.750
Rh 0.633 0.125 0.250

Calculated total energy, eV per atom: -4.74
V, Å³/cell: 226.6